Entry 1:
## SmYNbN3 (PBE)

Data for SmYNbN3 after structural relaxation.

The space group is P2_1/m (No. 11) and the conventional cell measures 6.538, 3.337 and 9.457 Å, with angles of 90.00, 94.69 and 90.00 degrees. The asymmetric unit holds Sm at (0.204, 0.250, 0.245), Y at (0.331, 0.750, 0.889), Nb at (0.137, 0.250, 0.581), N at (0.101, 0.250, 0.793), N at (0.200, 0.750, 0.459) and N at (0.404, 0.750, 0.130).

As for the raw formation energy: -25.2 kcal/mol of atoms.



Entry 2:
## CsLiInSe (PBE)

Data for CsLiInSe after structural relaxation.

The space group is P4/nmm (No. 129, origin choice 2) and the conventional cell measures 4.389, 4.389 and 14.704 Å, with angles of 90.00, 90.00 and 90.00 degrees. The asymmetric unit holds Cs at (0.250, 0.250, 0.214), Li at (0.250, 0.750, 0.000), In at (0.250, 0.750, 0.500) and Se at (0.250, 0.250, 0.903).

As for the raw formation energy: -17.5 kcal/mol of atoms.



Entry 3:
## AcIn3Hg (PBE)

Data for AcIn3Hg after structural relaxation.

The space group is P1 (No. 1) and the conventional cell measures 4.829, 4.900 and 6.942 Å, with angles of 110.53, 109.70 and 90.05 degrees. The asymmetric unit holds Ac at (0.000, 0.000, 0.000), In at (0.200, 0.749, 0.497), In at (0.418, 0.384, 0.767), In at (0.765, 0.239, 0.481) and Hg at (0.546, 0.609, 0.219).

As for the energy of formation from the pure elements: -316.6 meV per atom.



Entry 4:
## NdY3Er3 (PBE)

Data for NdY3Er3 after structural relaxation.

The space group is R-3 (No. 148, hexagonal axes) and the conventional cell measures 6.1766, 6.1766 and 42.6789 Å, with angles of 90.00, 90.00 and 120.00 degrees. The asymmetric unit holds Nd at (0.0000, 0.0000, 0.1667), Y at (0.9998, 0.3332, 0.0985) and Er at (0.0001, 0.3321, 0.6338).

As for the energy of formation from the pure elements: 136.4 meV per atom.



Entry 5:
## CaRe2HAu (PBE)

Data for CaRe2HAu after structural relaxation.

The space group is P4/mmm (No. 123) and the conventional cell measures 5.001, 5.001 and 5.670 Å, with angles of 90.00, 90.00 and 90.00 degrees. The asymmetric unit holds Ca at (0.000, 0.000, 0.000), Re at (0.000, 0.500, 0.500), H at (0.500, 0.500, 0.000) and Au at (0.000, 0.000, 0.500).



Entry 6:
## YThFeNi (PBE)

Data for YThFeNi after structural relaxation.

The space group is F-43m (No. 216) and the conventional cell measures 6.856, 6.856 and 6.856 Å, with angles of 90.00, 90.00 and 90.00 degrees. The asymmetric unit holds Y at (0.000, 0.000, 0.000), Th at (0.000, 0.000, 0.500), Fe at (0.250, 0.250, 0.750) and Ni at (0.250, 0.250, 0.250).

As for the energy of formation from the pure elements: -89.7 meV per atom.



Entry 7:
## SrIn2SbS6 (PBE)

Data for SrIn2SbS6 after structural relaxation.

The space group is C2/c (No. 15) and the conventional cell measures 13.738, 11.308 and 7.806 Å, with angles of 90.00, 112.57 and 90.00 degrees. The asymmetric unit holds Sr at (0.000, 0.153, 0.250), In at (0.197, 0.429, 0.198), Sb at (0.000, 0.220, 0.750), S at (0.101, 0.074, 0.651), S at (0.139, 0.411, 0.466) and S at (0.147, 0.224, 0.080).

As for the raw formation energy: -14.9 kcal/mol of atoms.



Entry 8:
## SnGe2Mo2 (PBE)

Data for SnGe2Mo2 after structural relaxation.

The space group is I4/mmm (No. 139) and the conventional cell measures 3.959, 3.959 and 12.283 Å, with angles of 90.00, 90.00 and 90.00 degrees. The asymmetric unit holds Sn at (0.000, 0.000, 0.000), Ge at (0.000, 0.000, 0.392) and Mo at (0.000, 0.500, 0.250).

As for the energy of formation from the pure elements: 359.2 meV per atom.



Entry 9:
## NiTe2PdI (PBE)

Data for NiTe2PdI after structural relaxation.

The space group is P4/mmm (No. 123) and the conventional cell measures 5.296, 5.296 and 5.438 Å, with angles of 90.00, 90.00 and 90.00 degrees. The asymmetric unit holds Ni at (0.000, 0.000, 0.000), Te at (0.000, 0.500, 0.500), Pd at (0.500, 0.500, 0.500) and I at (0.500, 0.500, 0.000).

As for the raw formation energy: 18.1 kcal/mol of atoms.



Entry 10:
## Ba2ThAgTe5 (PBE)

Data for Ba2ThAgTe5 after structural relaxation.

The space group is Cmc2_1 (No. 36) and the conventional cell measures 4.614, 20.426 and 14.030 Å, with angles of 90.00, 90.00 and 90.00 degrees. The asymmetric unit holds Ba at (0.000, 0.117, 0.000), Ba at (0.000, 0.120, 0.358), Th at (0.000, 0.192, 0.686), Ag at (0.000, 0.437, 0.102), Te at (0.000, 0.037, 0.708), Te at (0.000, 0.300, 0.338), Te at (0.000, 0.304, 0.031), Te at (0.000, 0.345, 0.679) and Te at (0.000, 0.500, 0.425).

As for the raw formation energy: -27.5 kcal/mol of atoms.



Entry 11:
## Ta2AlCd (PBE)

Data for Ta2AlCd after structural relaxation.

The space group is I4/mmm (No. 139) and the conventional cell measures 4.016, 4.016 and 8.896 Å, with angles of 90.00, 90.00 and 90.00 degrees. The asymmetric unit holds Ta at (0.000, 0.500, 0.250), Al at (0.000, 0.000, 0.000) and Cd at (0.000, 0.000, 0.500).

As for the energy of formation from the pure elements: 81.5 meV per atom.



Entry 12:
## Cs2ZnBr6Cl (PBE)

Data for Cs2ZnBr6Cl after structural relaxation.

The space group is I4/mmm (No. 139) and the conventional cell measures 7.780, 7.780 and 11.790 Å, with angles of 90.00, 90.00 and 90.00 degrees. The asymmetric unit holds Cs at (0.000, 0.500, 0.250), Zn at (0.000, 0.000, 0.000), Br at (0.000, 0.000, 0.204), Br at (0.247, 0.247, 0.500) and Cl at (0.000, 0.000, 0.500).

As for the raw formation energy: -19.4 kcal/mol of atoms.



Entry 13:
## TbSm2Hg (PBE)

Data for TbSm2Hg after structural relaxation.

The space group is Fm-3m (No. 225) and the conventional cell measures 7.749, 7.749 and 7.749 Å, with angles of 90.00, 90.00 and 90.00 degrees. The asymmetric unit holds Tb at (0.000, 0.000, 0.000), Sm at (0.250, 0.250, 0.250) and Hg at (0.000, 0.000, 0.500).

As for the energy of formation from the pure elements: -64.3 meV per atom.



Entry 14:
## Sr2MnRe (PBE)

Data for Sr2MnRe after structural relaxation.

The space group is I-42d (No. 122) and the conventional cell measures 11.567, 11.567 and 4.443 Å, with angles of 90.00, 90.00 and 90.00 degrees. The asymmetric unit holds Sr at (0.069, 0.750, 0.125), Mn at (0.000, 0.000, 0.000) and Re at (0.000, 0.000, 0.500).

As for the energy of formation from the pure elements: 1016.9 meV per atom.



Entry 15:
## LiDy6Ni (PBE)

Data for LiDy6Ni after structural relaxation.

The space group is P-1 (No. 2) and the conventional cell measures 6.788, 6.790 and 7.094 Å, with angles of 90.06, 118.53 and 119.95 degrees. The asymmetric unit holds Li at (0.000, 0.000, 0.000), Dy at (0.179, 0.458, 0.255), Dy at (0.203, 0.280, 0.745), Dy at (0.465, 0.923, 0.745) and Ni at (0.000, 0.500, 0.500).

As for the energy of formation from the pure elements: 148.3 meV per atom.



Entry 16:
## Ag2H4PdRh (PBE)

Data for Ag2H4PdRh after structural relaxation.

The space group is P2/m (No. 10) and the conventional cell measures 5.253, 2.972 and 5.284 Å, with angles of 90.00, 111.27 and 90.00 degrees. The asymmetric unit holds Ag at (0.000, 0.000, 0.000), Ag at (0.000, 0.500, 0.500), H at (0.343, 0.000, 0.802), H at (0.359, 0.500, 0.262), Pd at (0.500, 0.000, 0.500) and Rh at (0.500, 0.500, 0.000).



| no. | VASP energy (eV per atom) |
| --- | --- |
| 1 | -8.796 |
| 2 | -3.005 |
| 3 | -2.842 |
| 4 | -5.270 |
| 5 | -4.474 |
| 6 | -7.122 |
| 7 | -4.252 |
| 8 | -6.621 |
| 9 | -2.975 |
| 10 | -4.506 |
| 11 | -7.009 |
| 12 | -2.329 |
| 13 | -3.657 |
| 14 | -5.228 |
| 15 | -4.265 |
| 16 | -3.962 |